No. 1
{
  "formula": "TaCdPb2O6",
  "functional": "GGA-PBE",
  "state": "optimized geometry",
  "lattice_angstrom": [[-5.261, 0.279, -2.376], [0.731, -5.495, -2.264], [-3.354, -3.286, 6.894]],
  "species": ["Ta", "Ta", "Cd", "Cd", "Pb", "Pb", "Pb", "Pb", "O", "O", "O", "O", "O", "O", "O", "O", "O", "O", "O", "O"],
  "frac_coords": [[0.500, 0.000, 0.500], [0.000, 0.500, 0.000], [0.500, 0.000, 0.000], [0.000, 0.500, 0.500], [0.009, 0.959, 0.254], [0.509, 0.541, 0.754], [0.991, 0.041, 0.746], [0.491, 0.459, 0.246], [0.287, 0.676, 0.047], [0.787, 0.824, 0.547], [0.713, 0.324, 0.953], [0.213, 0.176, 0.453], [0.330, 0.719, 0.440], [0.830, 0.781, 0.940], [0.670, 0.281, 0.560], [0.170, 0.219, 0.060], [0.894, 0.544, 0.230], [0.394, 0.956, 0.730], [0.106, 0.456, 0.770], [0.606, 0.044, 0.270]],
  "dos_at_fermi_per_ev_fu": 5.15,
  "raw_formation_energy_ev_per_atom": -1.640,
  "magnetic_moment_mub_per_fu": 0.000,
  "dft_energy_ry_per_atom": -0.488
}


No. 2
{
  "formula": "TlTcBr2",
  "functional": "GGA-PBE",
  "state": "optimized geometry",
  "lattice_angstrom": [[3.756, -0.056, 0.000], [-2.071, 3.135, 0.000], [0.000, 0.000, 9.707]],
  "species": ["Tl", "Tc", "Br", "Br"],
  "frac_coords": [[0.500, 0.500, 0.728], [0.000, 0.000, 0.500], [0.000, 0.000, 0.953], [0.500, 0.500, 0.319]],
  "dos_at_fermi_per_ev_fu": 1.34,
  "relative_energy_mev_per_atom": 275,
  "raw_formation_energy_ev_per_atom": 0.308,
  "magnetic_moment_mub_per_fu": 1.924,
  "dft_energy_ry_per_atom": -0.273
}


No. 3
{
  "formula": "EuBi6",
  "functional": "GGA-PBE",
  "state": "optimized geometry",
  "lattice_angstrom": [[-0.770, 6.571, 3.807], [1.138, -5.693, 4.955], [5.969, 0.486, -4.732]],
  "species": ["Eu", "Bi", "Bi", "Bi", "Bi", "Bi", "Bi"],
  "frac_coords": [[0.000, 0.000, 0.000], [0.250, 0.750, 0.500], [0.500, 0.750, 0.250], [0.250, 0.500, 0.750], [0.750, 0.250, 0.500], [0.500, 0.250, 0.750], [0.750, 0.500, 0.250]],
  "dos_at_fermi_per_ev_fu": 4.91,
  "formation_energy_ev_per_atom": 0.2252,
  "magnetic_moment_mub_per_fu": 7.223,
  "dft_energy_ry_per_atom": -0.336
}


No. 4
{
  "formula": "Tb6Pr2Sm5",
  "functional": "GGA-PBE",
  "state": "optimized geometry",
  "lattice_angstrom": [[-1.293, -2.689, 2.047], [-0.792, -6.892, -9.556], [19.166, -6.731, 3.267]],
  "species": ["Tb", "Tb", "Tb", "Tb", "Tb", "Tb", "Tb", "Tb", "Tb", "Tb", "Tb", "Tb", "Pr", "Pr", "Pr", "Pr", "Sm", "Sm", "Sm", "Sm", "Sm", "Sm", "Sm", "Sm", "Sm", "Sm"],
  "frac_coords": [[0.000, 0.076, 0.365], [0.000, 0.924, 0.635], [0.000, 0.576, 0.135], [0.000, 0.424, 0.865], [0.500, 0.319, 0.128], [0.500, 0.681, 0.872], [0.500, 0.819, 0.372], [0.500, 0.181, 0.628], [0.000, 0.560, 0.423], [0.000, 0.440, 0.577], [0.000, 0.060, 0.077], [0.000, 0.940, 0.923], [0.000, 0.328, 0.283], [0.000, 0.672, 0.717], [0.000, 0.828, 0.217], [0.000, 0.172, 0.783], [0.500, 0.299, 0.447], [0.500, 0.701, 0.553], [0.500, 0.799, 0.053], [0.500, 0.201, 0.947], [0.500, 0.587, 0.279], [0.500, 0.413, 0.721], [0.500, 0.087, 0.221], [0.500, 0.913, 0.779], [0.500, 0.500, 0.000], [0.500, 0.000, 0.500]],
  "dos_at_fermi_per_ev_fu": 16.35,
  "formation_energy_ev_per_atom": 0.0946,
  "magnetic_moment_mub_per_fu": 0.000,
  "dft_energy_ry_per_atom": -0.338
}